Record 1
Material: YSc2As
Method: DFT, PBEsol
State: optimized geometry

```
YSc2As
1.0
4.348 0.000 0.000
0.000 4.348 0.000
0.000 0.000 4.395
Y Sc As
1 2 1
Direct
0.000 0.000 0.000 Y
0.000 0.500 0.500 Sc
0.500 0.000 0.500 Sc
0.500 0.500 0.000 As
```

Calculated values
Crystal system: tetragonal
Electronic total energy (eV per atom): -6.77
Space-group type: P4/mmm (123)
Volume (Å³ per cell): 83.10

Record 2
Material: Y2ScAs
Method: DFT, PBEsol
State: optimized geometry

```
Y2ScAs
1.0
3.838 0.000 0.000
0.000 3.838 0.000
0.000 0.000 6.378
Y Sc As
2 1 1
Direct
0.000 0.000 0.230 Y
0.000 0.000 0.770 Y
0.500 0.500 0.500 Sc
0.500 0.500 0.000 As
```

Calculated values
Crystal system: tetragonal
Electronic total energy (eV per atom): -6.93
Space-group type: P4/mmm (123)
Volume (Å³ per cell): 93.96

Record 3
Material: Y2ScAs
Method: DFT, PBEsol
State: optimized geometry

```
Y2ScAs
1.0
-1.865 2.422 5.374
1.865 -2.422 5.374
1.865 2.422 -5.374
Y Sc As
2 1 1
Direct
0.204 0.204 0.000 Y
0.796 0.796 0.000 Y
0.500 0.000 0.500 Sc
0.000 0.500 0.500 As
```

Calculated values
Crystal system: orthorhombic
Electronic total energy (eV per atom): -6.85
Space-group type: Immm (71)
Volume (Å³ per cell): 97.10

Record 4
Material: YSc2As
Method: DFT, PBEsol
State: optimized geometry

```
YSc2As
1.0
1.779 1.027 9.562
-1.779 1.027 9.562
0.000 -2.054 9.562
Y Sc As
1 2 1
Direct
0.000 0.000 0.000 Y
0.111 0.111 0.111 Sc
0.889 0.889 0.889 Sc
0.500 0.500 0.500 As
```

Calculated values
Crystal system: trigonal
Electronic total energy (eV per atom): -6.64
Space-group type: R-3m (166)
Volume (Å³ per cell): 104.78

Record 5
Material: YSc2As
Method: DFT, PBEsol
State: optimized geometry

```
YSc2As
1.0
3.588 0.000 0.000
0.000 3.588 0.000
0.000 0.000 6.931
Y Sc As
1 2 1
Direct
0.000 0.000 0.000 Y
0.000 0.000 0.432 Sc
0.500 0.500 0.692 Sc
0.500 0.500 0.261 As
```

Calculated values
Crystal system: tetragonal
Electronic total energy (eV per atom): -6.88
Space-group type: P4mm (99)
Volume (Å³ per cell): 89.21

Record 6
Material: Y2ScAs
Method: DFT, PBEsol
State: optimized geometry

```
Y2ScAs
1.0
1.883 1.087 8.926
-1.883 1.087 8.926
0.000 -2.174 8.926
Y Sc As
2 1 1
Direct
0.231 0.231 0.231 Y
0.769 0.769 0.769 Y
0.000 0.000 0.000 Sc
0.500 0.500 0.500 As
```

Calculated values
Crystal system: trigonal
Electronic total energy (eV per atom): -6.89
Space-group type: R-3m (166)
Volume (Å³ per cell): 109.61

Record 7
Material: Y2ScAs2
Method: DFT, PBEsol
State: optimized geometry

```
Y2ScAs2
1.0
7.446 0.000 0.000
0.000 7.446 0.000
0.000 0.000 3.946
Y Sc As
4 2 4
Direct
0.157 0.343 0.000 Y
0.343 0.843 0.000 Y
0.657 0.157 0.000 Y
0.843 0.657 0.000 Y
0.000 0.000 0.500 Sc
0.500 0.500 0.500 Sc
0.151 0.651 0.500 As
0.349 0.151 0.500 As
0.651 0.849 0.500 As
0.849 0.349 0.500 As
```

Calculated values
Crystal system: tetragonal
Electronic total energy (eV per atom): -7.36
Space-group type: P4/mbm (127)
Volume (Å³ per cell): 218.77

Record 8
Material: ScZn2As2
Method: DFT, PBEsol
State: optimized geometry

```
ScZn2As2
1.0
-1.837 1.837 6.544
1.837 -1.837 6.544
1.837 1.837 -6.544
Sc Zn As
1 2 2
Direct
0.000 0.000 0.000 Sc
0.250 0.750 0.500 Zn
0.750 0.250 0.500 Zn
0.395 0.395 0.000 As
0.605 0.605 0.000 As
```

Calculated values
Crystal system: tetragonal
Electronic total energy (eV per atom): -4.34
Space-group type: I4/mmm (139)
Volume (Å³ per cell): 88.34

These records have mass density values of 5.07; 5.26; 5.09; 4.02; 4.72; 4.51; 5.66; 6.12 g/cm³, in the order they appear.